Record 1
Ba8PPb2: optimized geometry, PBE.

Lattice parameters (Å, degrees): 11.646 11.646 7.881 104.28 104.28 28.62
Element x y z (fractional)
Ba: 0.027 0.027 0.301
Ba: 0.221 0.221 0.800
Ba: 0.353 0.353 0.536
Ba: 0.410 0.410 0.091
Ba: 0.590 0.590 0.909
Ba: 0.647 0.647 0.464
Ba: 0.779 0.779 0.200
Ba: 0.973 0.973 0.699
P: 0.500 0.500 0.500
Pb: 0.181 0.181 0.223
Pb: 0.819 0.819 0.777

## Properties
The value obtained for the spin magnetization is 0.33 μB per cell. As for the symmetry: No. 12. The calculation puts the uncorrected energy at -0.2204 Ry per atom.



Record 2
KInPb: optimized geometry, PBE.

Lattice parameters (Å, degrees): 5.300 5.300 8.221 90.00 90.00 120.00
Element x y z (fractional)
K: 0.000 0.000 0.000
K: 0.000 0.000 0.500
In: 0.667 0.333 0.192
In: 0.667 0.333 0.808
Pb: 0.333 0.667 0.295
Pb: 0.333 0.667 0.705

## Properties
The value obtained for the spin magnetization is 0.00 μB per cell. As for the symmetry: No. 187. The calculation puts the uncorrected energy at -0.1945 Ry per atom.



Record 3
BaGaSbTe2: optimized geometry, PBE.

Lattice parameters (Å, degrees): 6.493 6.493 6.427 90.00 90.00 90.00
Element x y z (fractional)
Ba: 0.000 0.000 0.000
Ga: 0.500 0.500 0.500
Sb: 0.000 0.000 0.500
Te: 0.000 0.500 0.000
Te: 0.500 0.000 0.000

## Properties
The value obtained for the spin magnetization is 1.40 μB per cell. As for the symmetry: No. 123. The offset from the most stable computed form comes out at 0.864 eV/atom. The calculation puts the uncorrected energy at -0.1943 Ry per atom. The value obtained for the raw formation energy is 0.427 eV per atom.



Record 4
USbH: optimized geometry, PBE.

Lattice parameters (Å, degrees): 3.951 3.951 4.241 90.00 90.00 120.00
Element x y z (fractional)
U: 0.000 0.000 0.000
Sb: 0.667 0.333 0.500
H: 0.333 0.667 0.000

## Properties
The value obtained for the spin magnetization is 1.99 μB per cell. As for the symmetry: No. 187. The offset from the most stable computed form comes out at 0.000 eV/atom. The calculation puts the uncorrected energy at -0.4836 Ry per atom.



Record 5
Y12Bi6C: optimized geometry, PBE.

Lattice parameters (Å, degrees): 8.540 8.540 8.540 99.55 99.55 99.55
Element x y z (fractional)
Y: 0.001 0.064 0.295
Y: 0.064 0.295 0.001
Y: 0.196 0.540 0.419
Y: 0.295 0.001 0.064
Y: 0.419 0.196 0.540
Y: 0.460 0.581 0.804
Y: 0.540 0.419 0.196
Y: 0.581 0.804 0.460
Y: 0.705 0.999 0.936
Y: 0.804 0.460 0.581
Y: 0.936 0.705 0.999
Y: 0.999 0.936 0.705
Bi: 0.115 0.301 0.649
Bi: 0.301 0.649 0.115
Bi: 0.351 0.885 0.699
Bi: 0.649 0.115 0.301
Bi: 0.699 0.351 0.885
Bi: 0.885 0.699 0.351
C: 0.000 0.000 0.000

## Properties
The value obtained for the spin magnetization is 0.58 μB per cell. As for the symmetry: No. 148. The calculation puts the uncorrected energy at -0.4633 Ry per atom.



Record 6
Rb2AlBr5: optimized geometry, PBE.

Lattice parameters (Å, degrees): 12.275 14.194 9.805 90.00 90.00 90.00
Element x y z (fractional)
Rb: 0.000 0.000 0.230
Rb: 0.000 0.000 0.770
Rb: 0.128 0.324 0.000
Rb: 0.372 0.824 0.500
Rb: 0.500 0.500 0.270
Rb: 0.500 0.500 0.730
Rb: 0.628 0.176 0.500
Rb: 0.872 0.676 0.000
Al: 0.250 0.219 0.500
Al: 0.250 0.719 0.000
Al: 0.750 0.281 0.000
Al: 0.750 0.781 0.500
Br: 0.067 0.173 0.500
Br: 0.141 0.583 0.000
Br: 0.151 0.101 0.000
Br: 0.209 0.807 0.194
Br: 0.209 0.807 0.806
Br: 0.291 0.307 0.306
Br: 0.291 0.307 0.694
Br: 0.349 0.601 0.500
Br: 0.359 0.083 0.500
Br: 0.433 0.673 0.000
Br: 0.567 0.327 0.000
Br: 0.641 0.917 0.500
Br: 0.651 0.399 0.500
Br: 0.709 0.693 0.306
Br: 0.709 0.693 0.694
Br: 0.791 0.193 0.194
Br: 0.791 0.193 0.806
Br: 0.849 0.899 0.000
Br: 0.859 0.417 0.000
Br: 0.933 0.827 0.500

## Properties
The value obtained for the spin magnetization is 0.60 μB per cell. As for the symmetry: No. 58. The offset from the most stable computed form comes out at 0.026 eV/atom. The calculation puts the uncorrected energy at -0.2334 Ry per atom. The value obtained for the raw formation energy is -1.420 eV per atom.



- Which of these has the highest spin magnetization?
  USbH



Repeat the sixth record exactly.
Rb2AlBr5: optimized geometry, PBE.

Lattice parameters (Å, degrees): 12.275 14.194 9.805 90.00 90.00 90.00
Element x y z (fractional)
Rb: 0.000 0.000 0.230
Rb: 0.000 0.000 0.770
Rb: 0.128 0.324 0.000
Rb: 0.372 0.824 0.500
Rb: 0.500 0.500 0.270
Rb: 0.500 0.500 0.730
Rb: 0.628 0.176 0.500
Rb: 0.872 0.676 0.000
Al: 0.250 0.219 0.500
Al: 0.250 0.719 0.000
Al: 0.750 0.281 0.000
Al: 0.750 0.781 0.500
Br: 0.067 0.173 0.500
Br: 0.141 0.583 0.000
Br: 0.151 0.101 0.000
Br: 0.209 0.807 0.194
Br: 0.209 0.807 0.806
Br: 0.291 0.307 0.306
Br: 0.291 0.307 0.694
Br: 0.349 0.601 0.500
Br: 0.359 0.083 0.500
Br: 0.433 0.673 0.000
Br: 0.567 0.327 0.000
Br: 0.641 0.917 0.500
Br: 0.651 0.399 0.500
Br: 0.709 0.693 0.306
Br: 0.709 0.693 0.694
Br: 0.791 0.193 0.194
Br: 0.791 0.193 0.806
Br: 0.849 0.899 0.000
Br: 0.859 0.417 0.000
Br: 0.933 0.827 0.500

## Properties
The value obtained for the spin magnetization is 0.60 μB per cell. As for the symmetry: No. 58. The offset from the most stable computed form comes out at 0.026 eV/atom. The calculation puts the uncorrected energy at -0.2334 Ry per atom. The value obtained for the raw formation energy is -1.420 eV per atom.



- Among the records above, which one has the lowest uncorrected energy?
  USbH